A relaxed MgTl2W crystal, computed with PBE.

total magnetic moment: 0.000 μB/atom
symmetry: P4/mmm
energy relative to the elements: 295 kJ/mol of formula units
calculated density: 12.35 g/cm³
energy above the most stable polymorph in this dataset: 0.181 eV per atom

Unit cell a=3.646 b=3.646 c=6.238 alpha=90.00 beta=90.00 gamma=90.00
Element x y z (fractional)
Mg 0.000 0.000 0.000
Tl 0.500 0.500 0.258
Tl 0.500 0.500 0.742
W 0.000 0.000 0.500



A relaxed MgTlW3 crystal, computed with PBE.

total magnetic moment: 0.000 μB/atom
symmetry: Pm-3m
energy relative to the elements: 1206 kJ/mol of formula units
calculated density: 12.99 g/cm³
energy above the most stable polymorph in this dataset: 0.000 eV per atom

Unit cell a=4.638 b=4.638 c=4.638 alpha=90.00 beta=90.00 gamma=90.00
Element x y z (fractional)
Mg 0.000 0.000 0.000
Tl 0.500 0.500 0.500
W 0.000 0.000 0.500
W 0.000 0.500 0.000
W 0.500 0.000 0.000



A relaxed Mg2TlW crystal, computed with PBE.

total magnetic moment: 0.091 μB/atom
symmetry: P4/mmm
energy relative to the elements: 222 kJ/mol of formula units
calculated density: 9.47 g/cm³
energy above the most stable polymorph in this dataset: 0.214 eV per atom

Unit cell a=4.258 b=4.258 c=4.227 alpha=90.00 beta=90.00 gamma=90.00
Element x y z (fractional)
Mg 0.000 0.500 0.000
Mg 0.500 0.000 0.000
Tl 0.000 0.000 0.500
W 0.500 0.500 0.500



A relaxed Mg2TlW crystal, computed with PBE.

total magnetic moment: 0.000 μB/atom
symmetry: Cm
energy relative to the elements: 207 kJ/mol of formula units
calculated density: 9.16 g/cm³
energy above the most stable polymorph in this dataset: 0.177 eV per atom

Unit cell a=5.252 b=5.252 c=5.371 alpha=97.98 beta=97.98 gamma=32.70
Element x y z (fractional)
Mg 0.000 0.000 0.000
Mg 0.243 0.243 0.742
Tl 0.491 0.491 0.473
W 0.742 0.742 0.229



A relaxed Mg2TlW crystal, computed with PBE.

total magnetic moment: 0.000 μB/atom
symmetry: C2/m
energy relative to the elements: 202 kJ/mol of formula units
calculated density: 9.20 g/cm³
energy above the most stable polymorph in this dataset: 0.164 eV per atom

Unit cell a=5.745 b=5.745 c=4.950 alpha=111.47 beta=111.47 gamma=31.45
Element x y z (fractional)
Mg 0.236 0.236 0.233
Mg 0.764 0.764 0.767
Tl 0.000 0.000 0.500
W 0.500 0.500 0.000



A relaxed Mg2TlW crystal, computed with PBE.

total magnetic moment: 0.000 μB/atom
symmetry: P4/mmm
energy relative to the elements: 235 kJ/mol of formula units
calculated density: 8.94 g/cm³
energy above the most stable polymorph in this dataset: 0.248 eV per atom

Unit cell a=5.306 b=5.306 c=2.884 alpha=90.00 beta=90.00 gamma=90.00
Element x y z (fractional)
Mg 0.000 0.500 0.000
Mg 0.500 0.000 0.000
Tl 0.000 0.000 0.500
W 0.500 0.500 0.500